(1)
# YLuSe3 | Alexandria via LeMat-Bulk | PBE | optimized geometry
data_YLuSe3
_cell_length_a 4.595
_cell_length_b 4.595
_cell_length_c 16.631
_cell_angle_alpha 90.00
_cell_angle_beta 90.00
_cell_angle_gamma 120.00
_symmetry_space_group_name_H-M 'P 1'
_symmetry_Int_Tables_number 1
_symmetry_space_group_name_Hall 'P 1'
loop_
_atom_site_label
_atom_site_type_symbol
_atom_site_fract_x
_atom_site_fract_y
_atom_site_fract_z
Y1 Y 0.333 0.667 0.750
Y2 Y 0.667 0.333 0.250
Lu1 Lu 0.000 0.000 0.000
Lu2 Lu 0.000 0.000 0.500
Se1 Se 0.000 0.000 0.250
Se2 Se 0.000 0.000 0.750
Se3 Se 0.333 0.667 0.923
Se4 Se 0.333 0.667 0.577
Se5 Se 0.667 0.333 0.423
Se6 Se 0.667 0.333 0.077
# Volume (Å³/cell): 304.11
# ΔE_f (raw) (eV/atom): -1.6504
# Relative energy among the computed polymorphs (eV per atom): 0.230

***

(2)
# YMnRh | Alexandria via LeMat-Bulk | PBE | optimized geometry
data_YMnRh
_cell_length_a 4.220
_cell_length_b 4.220
_cell_length_c 3.860
_cell_angle_alpha 90.00
_cell_angle_beta 90.00
_cell_angle_gamma 120.00
_symmetry_space_group_name_H-M 'P 1'
_symmetry_Int_Tables_number 1
_symmetry_space_group_name_Hall 'P 1'
loop_
_atom_site_label
_atom_site_type_symbol
_atom_site_fract_x
_atom_site_fract_y
_atom_site_fract_z
Mn1 Mn 0.000 0.000 0.167
Rh1 Rh 0.667 0.333 0.167
Y1 Y 0.333 0.667 0.667
# Volume (Å³/cell): 59.53
# Total DFT energy (no corrections) (eV per atom): -7.94

***

(3)
# ScBeC | Alexandria via LeMat-Bulk | PBE | optimized geometry
data_ScBeC
_cell_length_a 3.187
_cell_length_b 3.187
_cell_length_c 6.961
_cell_angle_alpha 90.00
_cell_angle_beta 90.00
_cell_angle_gamma 120.00
_symmetry_space_group_name_H-M 'P 1'
_symmetry_Int_Tables_number 1
_symmetry_space_group_name_Hall 'P 1'
loop_
_atom_site_label
_atom_site_type_symbol
_atom_site_fract_x
_atom_site_fract_y
_atom_site_fract_z
Sc1 Sc 0.000 0.000 0.000
Sc2 Sc 0.000 0.000 0.500
Be1 Be 0.667 0.333 0.750
Be2 Be 0.333 0.667 0.250
C1 C 0.667 0.333 0.250
C2 C 0.333 0.667 0.750
# Volume (Å³/cell): 61.23
# Relative energy among the computed polymorphs (eV per atom): 0.016

***

(4)
# SmHoGa2Pd2 | Alexandria via LeMat-Bulk | PBE | optimized geometry
data_SmHoGa2Pd2
_cell_length_a 4.514
_cell_length_b 4.514
_cell_length_c 6.948
_cell_angle_alpha 90.00
_cell_angle_beta 90.00
_cell_angle_gamma 120.00
_symmetry_space_group_name_H-M 'P 1'
_symmetry_Int_Tables_number 1
_symmetry_space_group_name_Hall 'P 1'
loop_
_atom_site_label
_atom_site_type_symbol
_atom_site_fract_x
_atom_site_fract_y
_atom_site_fract_z
Sm1 Sm 0.000 0.000 0.000
Ho1 Ho 0.000 0.000 0.500
Ga1 Ga 0.667 0.333 0.736
Ga2 Ga 0.333 0.667 0.264
Pd1 Pd 0.667 0.333 0.267
Pd2 Pd 0.333 0.667 0.733
# Volume (Å³/cell): 122.62
# Total DFT energy (no corrections) (eV per atom): -5.14

***

(5)
# Nd3Dy12Th | Alexandria via LeMat-Bulk | PBE | optimized geometry
data_Nd3Dy12Th
_cell_length_a 5.049
_cell_length_b 5.049
_cell_length_c 20.195
_cell_angle_alpha 90.00
_cell_angle_beta 90.00
_cell_angle_gamma 90.00
_symmetry_space_group_name_H-M 'P 1'
_symmetry_Int_Tables_number 1
_symmetry_space_group_name_Hall 'P 1'
loop_
_atom_site_label
_atom_site_type_symbol
_atom_site_fract_x
_atom_site_fract_y
_atom_site_fract_z
Nd1 Nd 0.000 0.000 0.249
Nd2 Nd 0.000 0.000 0.500
Nd3 Nd 0.000 0.000 0.751
Dy1 Dy 0.500 0.500 0.000
Dy2 Dy 0.500 0.500 0.250
Dy3 Dy 0.500 0.500 0.500
Dy4 Dy 0.500 0.500 0.750
Dy5 Dy 0.500 0.000 0.122
Dy6 Dy 0.500 0.000 0.374
Dy7 Dy 0.500 0.000 0.626
Dy8 Dy 0.500 0.000 0.878
Dy9 Dy 0.000 0.500 0.122
Dy10 Dy 0.000 0.500 0.374
Dy11 Dy 0.000 0.500 0.626
Dy12 Dy 0.000 0.500 0.878
Th1 Th 0.000 0.000 0.000
# Volume (Å³/cell): 514.74
# Total DFT energy (no corrections) (eV per atom): -4.79

***

(6)
# NdSbAu | Alexandria via LeMat-Bulk | PBE | optimized geometry
data_NdSbAu
_cell_length_a 4.325
_cell_length_b 4.595
_cell_length_c 4.595
_cell_angle_alpha 120.00
_cell_angle_beta 90.00
_cell_angle_gamma 90.00
_symmetry_space_group_name_H-M 'P 1'
_symmetry_Int_Tables_number 1
_symmetry_space_group_name_Hall 'P 1'
loop_
_atom_site_label
_atom_site_type_symbol
_atom_site_fract_x
_atom_site_fract_y
_atom_site_fract_z
Nd1 Nd 0.691 0.667 0.333
Au1 Au 0.077 0.000 0.000
Sb1 Sb 0.232 0.333 0.667
# Volume (Å³/cell): 79.09
# ΔE_f (raw) (eV/atom): -0.8461

***

(7)
# FeTe3W | Alexandria via LeMat-Bulk | PBE | optimized geometry
data_FeTe3W
_cell_length_a 5.306
_cell_length_b 5.306
_cell_length_c 5.306
_cell_angle_alpha 90.00
_cell_angle_beta 90.00
_cell_angle_gamma 90.00
_symmetry_space_group_name_H-M 'P 1'
_symmetry_Int_Tables_number 1
_symmetry_space_group_name_Hall 'P 1'
loop_
_atom_site_label
_atom_site_type_symbol
_atom_site_fract_x
_atom_site_fract_y
_atom_site_fract_z
Te1 Te 0.000 0.500 0.000
Te2 Te 0.000 0.000 0.500
Te3 Te 0.500 0.000 0.000
Fe1 Fe 0.500 0.500 0.500
W1 W 0.000 0.000 0.000
# Volume (Å³/cell): 149.41
# ΔE_f (raw) (eV/atom): 1.1201
# Relative energy among the computed polymorphs (eV per atom): 0.000

***

(8)
# LiMg2Cd4In2 | Alexandria via LeMat-Bulk | PBE | optimized geometry
data_LiMg2Cd4In2
_cell_length_a 3.620
_cell_length_b 7.581
_cell_length_c 7.703
_cell_angle_alpha 101.98
_cell_angle_beta 90.00
_cell_angle_gamma 103.81
_symmetry_space_group_name_H-M 'P 1'
_symmetry_Int_Tables_number 1
_symmetry_space_group_name_Hall 'P 1'
loop_
_atom_site_label
_atom_site_type_symbol
_atom_site_fract_x
_atom_site_fract_y
_atom_site_fract_z
Li1 Li 0.000 0.000 0.000
Mg1 Mg 0.894 0.788 0.363
Mg2 Mg 0.106 0.212 0.637
Cd1 Cd 0.777 0.554 0.669
Cd2 Cd 0.223 0.446 0.331
Cd3 Cd 0.551 0.103 0.308
Cd4 Cd 0.449 0.897 0.692
In1 In 0.343 0.686 0.025
In2 In 0.657 0.314 0.975
# Volume (Å³/cell): 200.52
# Total DFT energy (no corrections) (eV per atom): -1.66

***

(9)
# Ag2PtF | Alexandria via LeMat-Bulk | PBE | optimized geometry
data_Ag2PtF
_cell_length_a 6.921
_cell_length_b 6.921
_cell_length_c 5.629
_cell_angle_alpha 52.07
_cell_angle_beta 52.07
_cell_angle_gamma 90.00
_symmetry_space_group_name_H-M 'P 1'
_symmetry_Int_Tables_number 1
_symmetry_space_group_name_Hall 'P 1'
loop_
_atom_site_label
_atom_site_type_symbol
_atom_site_fract_x
_atom_site_fract_y
_atom_site_fract_z
Ag1 Ag 0.585 0.125 0.250
Ag2 Ag 0.165 0.625 0.250
Ag3 Ag 0.375 0.415 0.750
Ag4 Ag 0.875 0.835 0.750
Pt1 Pt 0.000 0.000 0.000
Pt2 Pt 0.750 0.250 0.500
F1 F 0.500 0.500 0.000
F2 F 0.250 0.750 0.500
# Volume (Å³/cell): 133.22
# ΔE_f (raw) (eV/atom): -0.0399
# Relative energy among the computed polymorphs (eV per atom): 0.298

***

(10)
# Pm3ZnGe6Pd2 | Alexandria via LeMat-Bulk | PBE | optimized geometry
data_Pm3ZnGe6Pd2
_cell_length_a 5.913
_cell_length_b 5.913
_cell_length_c 8.417
_cell_angle_alpha 90.00
_cell_angle_beta 90.00
_cell_angle_gamma 120.00
_symmetry_space_group_name_H-M 'P 1'
_symmetry_Int_Tables_number 1
_symmetry_space_group_name_Hall 'P 1'
loop_
_atom_site_label
_atom_site_type_symbol
_atom_site_fract_x
_atom_site_fract_y
_atom_site_fract_z
Pm1 Pm 0.333 0.667 0.610
Pm2 Pm 0.667 0.333 0.390
Pm3 Pm 0.000 0.000 0.000
Zn1 Zn 0.000 0.000 0.500
Ge1 Ge 0.628 0.814 0.274
Ge2 Ge 0.186 0.372 0.274
Ge3 Ge 0.186 0.814 0.274
Ge4 Ge 0.814 0.628 0.726
Ge5 Ge 0.372 0.186 0.726
Ge6 Ge 0.814 0.186 0.726
Pd1 Pd 0.667 0.333 0.981
Pd2 Pd 0.333 0.667 0.019
# Volume (Å³/cell): 254.86
# Total DFT energy (no corrections) (eV per atom): -4.88

***

(11)
# HfPa3Ge5 | Alexandria via LeMat-Bulk | PBE | optimized geometry
data_HfPa3Ge5
_cell_length_a 5.870
_cell_length_b 8.640
_cell_length_c 8.640
_cell_angle_alpha 120.00
_cell_angle_beta 90.00
_cell_angle_gamma 90.00
_symmetry_space_group_name_H-M 'P 1'
_symmetry_Int_Tables_number 1
_symmetry_space_group_name_Hall 'P 1'
loop_
_atom_site_label
_atom_site_type_symbol
_atom_site_fract_x
_atom_site_fract_y
_atom_site_fract_z
Hf1 Hf 0.000 0.000 0.000
Hf2 Hf 0.500 0.000 0.000
Pa1 Pa 0.750 0.383 0.000
Pa2 Pa 0.750 0.617 0.617
Pa3 Pa 0.750 0.000 0.383
Pa4 Pa 0.250 0.617 0.000
Pa5 Pa 0.250 0.383 0.383
Pa6 Pa 0.250 0.000 0.617
Ge1 Ge 0.000 0.333 0.667
Ge2 Ge 0.500 0.667 0.333
Ge3 Ge 0.000 0.667 0.333
Ge4 Ge 0.500 0.333 0.667
Ge5 Ge 0.750 0.728 0.000
Ge6 Ge 0.750 0.272 0.272
Ge7 Ge 0.750 0.000 0.728
Ge8 Ge 0.250 0.272 0.000
Ge9 Ge 0.250 0.728 0.728
Ge10 Ge 0.250 0.000 0.272
# Volume (Å³/cell): 379.49
# Total DFT energy (no corrections) (eV per atom): -7.44

***

(12)
# Ac7Tb4Y | Alexandria via LeMat-Bulk | PBE | optimized geometry
data_Ac7Tb4Y
_cell_length_a 7.101
_cell_length_b 6.997
_cell_length_c 12.215
_cell_angle_alpha 75.32
_cell_angle_beta 54.81
_cell_angle_gamma 84.27
_symmetry_space_group_name_H-M 'P 1'
_symmetry_Int_Tables_number 1
_symmetry_space_group_name_Hall 'P 1'
loop_
_atom_site_label
_atom_site_type_symbol
_atom_site_fract_x
_atom_site_fract_y
_atom_site_fract_z
Ac1 Ac 0.810 0.510 0.939
Ac2 Ac 0.190 0.490 0.061
Ac3 Ac 0.041 0.296 0.630
Ac4 Ac 0.959 0.704 0.370
Ac5 Ac 0.270 0.800 0.597
Ac6 Ac 0.500 0.000 0.000
Ac7 Ac 0.730 0.200 0.403
Tb1 Tb 0.555 0.644 0.270
Tb2 Tb 0.445 0.356 0.730
Tb3 Tb 0.640 0.837 0.711
Tb4 Tb 0.360 0.163 0.289
Y1 Y 0.000 0.000 0.000
# Volume (Å³/cell): 479.00
# Total DFT energy (no corrections) (eV per atom): -4.35

***

The following Fermi-level density of states values (in states/eV per atom) correspond, in order, to the records above: 0.000, 0.782, 0.335, 0.680, 1.407, 0.534, 1.456, 0.357, 1.023, 0.433, 0.788, 1.537.